1.
A relaxed Sr2TcTe crystal. Source: Alexandria via LeMat-Bulk, functional GGA-PBEsol.

Cell and atoms, written as POSCAR:
```
Sr2TcTe
1.0
0.0000 3.6289 3.6289
3.6289 0.0000 3.6289
3.6289 3.6289 0.0000
Sr Tc Te
2 1 1
direct
0.0000 0.0000 0.0000
0.2500 0.2500 0.2500
0.5000 0.5000 0.5000
0.7500 0.7500 0.7500
```

Calculated values
Formation energy (no corrections)   295 meV/atom
DFT total energy   -4.323 eV/atom
Total magnetization   0.8 μB/f.u.
Fermi-level density of states   1.536 states/eV per atom

2.
A relaxed ZrScPt2 crystal. Source: Alexandria via LeMat-Bulk, functional GGA-PBEsol.

Cell and atoms, written as POSCAR:
```
ZrScPt2
1.0
3.0624 0.0000 0.0000
0.0000 3.3792 0.0000
0.0000 0.0000 6.8084
Zr Sc Pt
1 1 2
direct
0.0000 0.0000 0.0000
0.0000 0.0000 0.5000
0.5000 0.5000 0.2590
0.5000 0.5000 0.7410
```

Calculated values
DFT total energy   -8.459 eV/atom
Energy relative to the elements   -1054 meV per atom
Total magnetization   0.0 μB/f.u.
Fermi-level density of states   0.823 states/eV per atom

3.
A relaxed MgTa4W crystal. Source: Alexandria via LeMat-Bulk, functional GGA-PBEsol.

Cell and atoms, written as POSCAR:
```
MgTa4W
1.0
0.0000 3.8022 3.8022
3.8022 0.0000 3.8022
3.8022 3.8022 0.0000
Mg Ta W
1 4 1
direct
0.0000 0.0000 0.0000
0.1277 0.6241 0.6241
0.6241 0.1277 0.6241
0.6241 0.6241 0.1277
0.6241 0.6241 0.6241
0.2500 0.2500 0.2500
```

Calculated values
DFT total energy   -10.433 eV/atom
Energy relative to the elements   522 meV per atom
Total magnetization   0.0 μB/f.u.
Fermi-level density of states   1.377 states/eV per atom

4.
A relaxed Zr2Ga3Co crystal. Source: Alexandria via LeMat-Bulk, functional GGA-PBEsol.

Cell and atoms, written as POSCAR:
```
Zr2Ga3Co
1.0
4.8199 -2.0708 0.0000
4.8199 2.0708 0.0000
-4.2480 0.0000 4.8486
Zr Ga Co
2 3 1
direct
0.0000 0.0000 0.0000
0.0814 0.0814 0.5802
0.3667 0.3667 0.1590
0.3969 0.3969 0.6245
0.7087 0.7087 0.3940
0.7141 0.7141 0.0100
```

Calculated values
DFT total energy   -6.568 eV/atom
Energy relative to the elements   -579 meV per atom
Total magnetization   0.0 μB/f.u.
Fermi-level density of states   0.731 states/eV per atom